Entry from Alexandria via LeMat-Bulk: crystalline La2ZrCl at its relaxed geometry (PBE).

Properties
V = 34.93 Å³ per atom
offset from the most stable computed form = 655 meV per atom
calculated density = 4.81 g/cm3
uncorrected formation energy = 75.8 meV/atom
M_tot = 0.00 μB per formula unit
DOS at the Fermi energy = 8.5 states/eV per cell

Cell and atoms, written as CIF:
```
data_La2ZrCl
_chemical_formula_sum 'La4 Zr2 Cl2'
_cell_length_a 6.4036
_cell_length_b 6.4036
_cell_length_c 8.1825
_cell_angle_alpha 66.96
_cell_angle_beta 66.96
_cell_angle_gamma 90.00
_space_group_name_H-M_alt 'P 1'
_space_group_IT_number 1
loop_
_space_group_symop_operation_xyz
'x,y,z'
loop_
_atom_site_label
_atom_site_type_symbol
_atom_site_fract_x
_atom_site_fract_y
_atom_site_fract_z
Cl1 Cl 0.5000 0.5000 0.0000
Cl2 Cl 0.2500 0.7500 0.5000
Zr1 Zr 0.0000 0.0000 0.0000
Zr2 Zr 0.7500 0.2500 0.5000
La1 La 0.6361 0.1250 0.2500
La2 La 0.1139 0.6250 0.2500
La3 La 0.3750 0.3639 0.7500
La4 La 0.8750 0.8861 0.7500
```